Entry 1:
This record from Alexandria via LeMat-Bulk describes crystalline Te2OsAu at its relaxed geometry. The functional is PBE.

Output
ΔE_f (raw): 2.1 eV/f.u.

Geometry as POSCAR:
```
Te2OsAu
1.0
3.2175 0.0000 0.0000
0.0000 3.2175 0.0000
0.0000 0.0000 8.1493
Te Os Au
2 1 1
Cartesian
0.0000 0.0000 1.7337
0.0000 0.0000 6.4156
1.6087 1.6087 0.0000
1.6087 1.6087 4.0747
```

---

Entry 2:
This record from Alexandria via LeMat-Bulk describes crystalline In2MoIr at its relaxed geometry. The functional is PBE.

Output
energy of formation: 0.3842 eV per atom

Geometry as POSCAR:
```
In2MoIr
1.0
3.0186 0.0000 0.0000
0.0000 4.7053 0.0000
0.0000 0.0000 5.1784
In Mo Ir
2 1 1
Cartesian
0.0000 0.0000 0.0000
1.5093 0.0000 2.5892
0.0000 2.3527 2.5892
1.5093 2.3527 0.0000
```

---

| no. | magnetization (μB/f.u.) | calculated total energy (eV per atom) |
| --- | --- | --- |
| 1 | 0.00 | -4.6775 |
| 2 | 0.90 | -5.9081 |